1.
# ZnTcBr2

Crystalline ZnTcBr2 at its relaxed geometry (PBE-GGA, Alexandria via LeMat-Bulk).

formation energy without anion corrections	0.388	eV/atom
total energy	-3.36	eV/atom
excess energy over the best structure of this formula in the dataset	602	meV/atom

Cell lengths 3.880, 3.880, 10.487 Å; angles 90.00, 90.00, 127.39 degrees
Fractional positions:
Zn 0.000 0.000 0.000
Tc 0.000 0.000 0.500
Br 0.500 0.500 0.321
Br 0.500 0.500 0.679



2.
# Zn4TcBr

Crystalline Zn4TcBr at its relaxed geometry (PBE-GGA, Alexandria via LeMat-Bulk).

formation energy without anion corrections	0.454	eV/atom
total energy	-2.40	eV/atom

Cell lengths 5.145, 5.145, 5.145 Å; angles 60.00, 60.00, 60.00 degrees
Fractional positions:
Zn 0.377 0.377 0.377
Zn 0.377 0.377 0.870
Zn 0.377 0.870 0.377
Zn 0.870 0.377 0.377
Tc 0.750 0.750 0.750
Br 0.000 0.000 0.000



3.
# ZnTcBr2

Crystalline ZnTcBr2 at its relaxed geometry (PBE-GGA, Alexandria via LeMat-Bulk).

formation energy without anion corrections	0.109	eV/atom
total energy	-3.64	eV/atom
excess energy over the best structure of this formula in the dataset	322	meV/atom

Cell lengths 5.000, 5.000, 7.697 Å; angles 108.44, 108.44, 37.62 degrees
Fractional positions:
Zn 0.000 0.000 0.000
Tc 0.727 0.727 0.995
Br 0.169 0.169 0.722
Br 0.317 0.317 0.270



4.
# ZnTcBr2

Crystalline ZnTcBr2 at its relaxed geometry (PBE-GGA, Alexandria via LeMat-Bulk).

formation energy without anion corrections	0.707	eV/atom
total energy	-3.04	eV/atom
excess energy over the best structure of this formula in the dataset	920	meV/atom

Cell lengths 5.109, 5.109, 3.484 Å; angles 90.00, 90.00, 95.71 degrees
Fractional positions:
Zn 0.000 0.000 0.000
Tc 0.500 0.500 0.000
Br 0.000 0.500 0.500
Br 0.500 0.000 0.500



5.
# ZnTcBr2

Crystalline ZnTcBr2 at its relaxed geometry (PBE-GGA, Alexandria via LeMat-Bulk).

formation energy without anion corrections	0.616	eV/atom
total energy	-3.13	eV/atom
excess energy over the best structure of this formula in the dataset	830	meV/atom

Cell lengths 3.455, 4.599, 5.495 Å; angles 90.00, 90.00, 90.00 degrees
Fractional positions:
Zn 0.000 0.000 0.000
Tc 0.500 0.500 0.500
Br 0.000 0.000 0.500
Br 0.500 0.500 0.000



6.
# ZnTcBr2

Crystalline ZnTcBr2 at its relaxed geometry (PBE-GGA, Alexandria via LeMat-Bulk).

formation energy without anion corrections	-0.149	eV/atom
total energy	-3.90	eV/atom
excess energy over the best structure of this formula in the dataset	64	meV/atom

Cell lengths 3.760, 7.478, 8.811 Å; angles 109.84, 90.20, 104.53 degrees
Fractional positions:
Zn 0.000 0.000 0.000
Zn 0.340 0.684 0.911
Tc 0.472 0.948 0.777
Tc 0.617 0.234 0.964
Br 0.284 0.567 0.138
Br 0.588 0.167 0.236
Br 0.703 0.412 0.755
Br 0.949 0.906 0.566



7.
# ZnTcBr2

Crystalline ZnTcBr2 at its relaxed geometry (PBE-GGA, Alexandria via LeMat-Bulk).

formation energy without anion corrections	-0.214	eV/atom
total energy	-3.96	eV/atom
excess energy over the best structure of this formula in the dataset	0	meV/atom

Cell lengths 3.791, 6.756, 9.169 Å; angles 73.80, 81.16, 83.56 degrees
Fractional positions:
Zn 0.000 0.000 0.000
Zn 0.416 0.889 0.249
Tc 0.361 0.357 0.072
Tc 0.917 0.182 0.211
Br 0.089 0.696 0.900
Br 0.459 0.499 0.297
Br 0.526 0.232 0.826
Br 0.730 0.928 0.480



8.
# Zn2TcBr

Crystalline Zn2TcBr at its relaxed geometry (PBE-GGA, Alexandria via LeMat-Bulk).

formation energy without anion corrections	0.615	eV/atom
total energy	-3.03	eV/atom
excess energy over the best structure of this formula in the dataset	406	meV/atom

Cell lengths 5.196, 5.196, 5.196 Å; angles 135.23, 135.23, 65.17 degrees
Fractional positions:
Zn 0.000 0.000 0.000
Zn 0.750 0.250 0.500
Tc 0.500 0.500 0.000
Br 0.250 0.750 0.500



9.
# ZnTcBr2

Crystalline ZnTcBr2 at its relaxed geometry (PBE-GGA, Alexandria via LeMat-Bulk).

formation energy without anion corrections	-0.127	eV/atom
total energy	-3.87	eV/atom
excess energy over the best structure of this formula in the dataset	87	meV/atom

Cell lengths 3.410, 7.258, 9.324 Å; angles 70.04, 79.71, 89.97 degrees
Fractional positions:
Zn 0.000 0.000 0.000
Zn 0.088 0.784 0.819
Tc 0.567 0.290 0.862
Tc 0.636 0.103 0.720
Br 0.240 0.237 0.507
Br 0.399 0.861 0.208
Br 0.667 0.651 0.656
Br 0.984 0.452 0.032



10.
# Zn2TcBr

Crystalline Zn2TcBr at its relaxed geometry (PBE-GGA, Alexandria via LeMat-Bulk).

formation energy without anion corrections	0.351	eV/atom
total energy	-3.30	eV/atom
excess energy over the best structure of this formula in the dataset	143	meV/atom

Cell lengths 3.069, 3.069, 8.101 Å; angles 90.00, 90.00, 111.08 degrees
Fractional positions:
Zn 0.000 0.000 0.230
Zn 0.000 0.000 0.770
Tc 0.500 0.500 0.000
Br 0.500 0.500 0.500



11.
# Zn2Tc2Br

Crystalline Zn2Tc2Br at its relaxed geometry (PBE-GGA, Alexandria via LeMat-Bulk).

formation energy without anion corrections	0.614	eV/atom
total energy	-4.38	eV/atom
excess energy over the best structure of this formula in the dataset	199	meV/atom

Cell lengths 8.513, 8.513, 2.521 Å; angles 90.00, 90.00, 90.00 degrees
Fractional positions:
Zn 0.184 0.316 0.000
Zn 0.316 0.816 0.000
Zn 0.684 0.184 0.000
Zn 0.816 0.684 0.000
Tc 0.102 0.602 0.500
Tc 0.398 0.102 0.500
Tc 0.602 0.898 0.500
Tc 0.898 0.398 0.500
Br 0.000 0.000 0.000
Br 0.500 0.500 0.000



12.
# Zn2TcBr

Crystalline Zn2TcBr at its relaxed geometry (PBE-GGA, Alexandria via LeMat-Bulk).

formation energy without anion corrections	0.594	eV/atom
total energy	-3.05	eV/atom
excess energy over the best structure of this formula in the dataset	386	meV/atom

Cell lengths 3.012, 4.494, 5.013 Å; angles 90.00, 90.00, 90.00 degrees
Fractional positions:
Zn 0.000 0.000 0.000
Zn 0.500 0.500 0.000
Tc 0.000 0.500 0.500
Br 0.500 0.000 0.500



13.
# Zn2TcBr

Crystalline Zn2TcBr at its relaxed geometry (PBE-GGA, Alexandria via LeMat-Bulk).

formation energy without anion corrections	0.455	eV/atom
total energy	-3.19	eV/atom
excess energy over the best structure of this formula in the dataset	247	meV/atom

Cell lengths 3.045, 3.045, 10.041 Å; angles 90.00, 90.00, 123.00 degrees
Fractional positions:
Zn 0.000 0.000 0.000
Zn 0.500 0.500 0.222
Tc 0.500 0.500 0.783
Br 0.000 0.000 0.581



14.
# ZnTcBr2

Crystalline ZnTcBr2 at its relaxed geometry (PBE-GGA, Alexandria via LeMat-Bulk).

formation energy without anion corrections	0.276	eV/atom
total energy	-3.47	eV/atom
excess energy over the best structure of this formula in the dataset	489	meV/atom

Cell lengths 10.742, 10.742, 10.742 Å; angles 19.30, 19.30, 19.30 degrees
Fractional positions:
Zn 0.000 0.000 0.000
Tc 0.500 0.500 0.500
Br 0.118 0.118 0.118
Br 0.882 0.882 0.882